{"formula": "CaAcTb", "functional": "GGA-PBE", "state": "optimized geometry", "cell": [[3.760, 0.000, -0.552], [0.000, 6.058, 0.000], [-0.392, 0.000, 10.420]], "species": ["Ca", "Ca", "Ac", "Ac", "Tb", "Tb"], "frac_coords": [[0.785, 0.250, 0.569], [0.215, 0.750, 0.431], [0.894, 0.750, 0.787], [0.106, 0.250, 0.213], [0.451, 0.250, 0.901], [0.549, 0.750, 0.099]], "magmom_total_mub_per_cell": 0.00, "e_tot_ev_per_cell": -21.18, "dos_ef_per_ev_fu": 4.80, "space_group": "Cmcm (63)", "polymorph_energy_ev_per_fu": 0.00, "formation_enthalpy_0k_ev_per_atom": 0.0498}

{"formula": "Er4Pd7Au", "functional": "GGA-PBE", "state": "optimized geometry", "cell": [[5.376, -0.964, 1.082], [1.202, 8.078, 0.064], [0.064, -1.107, 5.287]], "species": ["Er", "Er", "Er", "Er", "Pd", "Pd", "Pd", "Pd", "Pd", "Pd", "Pd", "Au"], "frac_coords": [[0.652, 0.203, 0.452], [0.348, 0.797, 0.548], [0.745, 0.649, 0.892], [0.255, 0.351, 0.108], [0.839, 0.873, 0.513], [0.161, 0.127, 0.487], [0.196, 0.711, 0.085], [0.804, 0.289, 0.915], [0.250, 0.461, 0.648], [0.500, 0.000, 0.000], [0.750, 0.539, 0.352], [0.000, 0.000, 0.000]], "magmom_total_mub_per_cell": 0.00, "e_tot_ev_per_cell": -67.95, "dos_ef_per_ev_fu": 5.91, "space_group": "P-1 (2)", "formation_enthalpy_0k_ev_per_atom": -0.8391}

{"formula": "La3Tb3Th", "functional": "GGA-PBE", "state": "optimized geometry", "cell": [[-2.635, -2.326, 0.814], [6.131, -8.512, -4.474], [-1.011, 6.403, 15.018]], "species": ["La", "La", "La", "La", "La", "La", "Tb", "Tb", "Tb", "Tb", "Tb", "Tb", "Th", "Th"], "frac_coords": [[0.250, 0.354, 0.366], [0.750, 0.646, 0.634], [0.250, 0.839, 0.894], [0.750, 0.161, 0.106], [0.250, 0.443, 0.888], [0.750, 0.557, 0.112], [0.250, 0.431, 0.679], [0.750, 0.569, 0.321], [0.250, 0.831, 0.570], [0.750, 0.169, 0.430], [0.250, 0.905, 0.162], [0.750, 0.095, 0.838], [0.250, 0.867, 0.371], [0.750, 0.133, 0.629]], "magmom_total_mub_per_cell": 0.00, "e_tot_ev_per_cell": -70.45, "dos_ef_per_ev_fu": 9.02, "space_group": "P2_1/m (11)", "formation_enthalpy_0k_ev_per_atom": 0.1239}

{"formula": "Ag7Pd2Au2", "functional": "GGA-PBE", "state": "optimized geometry", "cell": [[6.854, 0.769, 1.110], [0.013, 5.341, 0.781], [0.013, -1.145, 5.275]], "species": ["Ag", "Ag", "Ag", "Ag", "Ag", "Ag", "Ag", "Pd", "Pd", "Au", "Au"], "frac_coords": [[0.193, 0.086, 0.461], [0.807, 0.539, 0.914], [0.807, 0.914, 0.539], [0.193, 0.461, 0.086], [0.000, 0.000, 0.000], [0.413, 0.847, 0.847], [0.587, 0.153, 0.153], [0.853, 0.396, 0.396], [0.147, 0.604, 0.604], [0.500, 0.317, 0.683], [0.500, 0.683, 0.317]], "magmom_total_mub_per_cell": 0.00, "e_tot_ev_per_cell": -36.84, "dos_ef_per_ev_fu": 2.67, "space_group": "C2/m (12)", "formation_enthalpy_0k_ev_per_atom": 0.0057}